No. 1
18
Lattice="6.432 0.000 -0.044 0.000 6.895 0.000 0.235 0.000 9.258" Properties=species:S:1:pos:R:3 comment="Tm6Pt2N, relaxed, DFT PBE-GGA" dos_ef_per_ev_cell=15.65 space_group="P2_1/c (14)" raw_formation_energy_ev_per_atom=-1.05 energy_ev_per_atom=-6.299 pbc="T T T"
Tm 2.082 5.633 5.116
Tm 4.584 1.262 4.097
Tm 5.925 6.696 6.843
Tm 1.302 2.077 5.125
Tm 5.364 4.818 4.089
Tm 2.592 3.647 2.236
Tm 1.485 2.186 8.749
Tm 0.741 0.200 2.371
Tm 5.181 4.709 0.465
Tm 4.075 3.248 6.977
Tm 2.266 5.524 8.740
Tm 4.401 1.371 0.473
Pt 6.286 2.858 2.256
Pt 3.479 6.305 2.306
Pt 3.187 0.590 6.907
Pt 0.380 4.037 6.957
N 3.216 3.448 -0.022
N 0.117 0.000 4.629

***

No. 2
6
Lattice="3.071 0.628 -0.889 2.006 4.122 -1.281 -1.958 -2.778 9.317" Properties=species:S:1:pos:R:3 comment="TmPtN, relaxed, DFT PBE-GGA" dos_ef_per_ev_cell=2.16 space_group="P1 (1)" raw_formation_energy_ev_per_atom=-0.75 energy_ev_per_atom=-7.025 pbc="T T T"
Pt 0.927 -0.827 6.528
Pt 1.727 0.868 4.386
Tm 2.307 1.476 7.369
Tm 2.159 2.776 2.074
N 1.196 -0.110 1.408
N 0.777 0.791 2.408

***

No. 3
4
Lattice="-0.399 -1.740 -2.490 2.150 -0.069 -2.181 4.397 -7.153 2.408" Properties=species:S:1:pos:R:3 comment="U2PtN, relaxed, DFT PBE-GGA" dos_ef_per_ev_cell=7.99 space_group="R-3m (166)" raw_formation_energy_ev_per_atom=-0.49 energy_ev_per_atom=-9.723 pbc="T T T"
Pt 0.000 0.000 0.000
N 3.074 -4.481 -1.132
U 2.970 -3.902 -3.404
U 3.179 -5.060 1.141

***

No. 4
6
Lattice="-2.185 -0.441 2.987 0.563 -3.682 -0.132 5.550 0.696 4.160" Properties=species:S:1:pos:R:3 comment="UPtN, relaxed, DFT PBE-GGA" e_above_lowest_polymorph_mev_per_atom=0 dos_ef_per_ev_cell=7.63 space_group="P4/nmm (129)" raw_formation_energy_ev_per_atom=-1.02 energy_ev_per_atom=-9.576 pbc="T T T"
U 1.675 -2.646 1.996
U 2.253 -0.780 5.019
Pt 4.881 -2.243 4.400
Pt -0.953 -1.183 2.615
N 1.559 -2.744 4.221
N 2.370 -0.682 2.794

***

No. 5
6
Lattice="-1.201 3.515 0.844 -1.781 -2.026 -2.694 -3.528 -2.929 7.183" Properties=species:S:1:pos:R:3 comment="UPtN, relaxed, DFT PBE-GGA" e_above_lowest_polymorph_mev_per_atom=278 dos_ef_per_ev_cell=6.10 space_group="C2/m (12)" raw_formation_energy_ev_per_atom=-0.75 energy_ev_per_atom=-9.298 pbc="T T T"
Pt -2.880 -1.355 1.546
Pt -3.629 -0.085 3.788
N -1.257 -0.373 -0.236
N -5.253 -1.067 5.569
U -3.086 1.032 -0.090
U -3.424 -2.471 5.424

***

No. 6
3
Lattice="4.116 0.000 0.000 0.000 3.778 0.000 0.000 -1.889 3.272" Properties=species:S:1:pos:R:3 comment="UPtN, relaxed, DFT PBE-GGA" e_above_lowest_polymorph_mev_per_atom=385 dos_ef_per_ev_cell=3.56 space_group="P-6m2 (187)" raw_formation_energy_ev_per_atom=-0.64 energy_ev_per_atom=-9.191 pbc="T T T"
N 0.688 0.000 0.000
Pt 2.744 0.000 2.181
U 0.685 1.889 1.091

***

No. 7
8
Lattice="-5.099 1.391 -0.790 -0.901 -4.677 -2.423 -4.146 -3.531 2.464" Properties=species:S:1:pos:R:3 comment="VPt2N, relaxed, DFT PBE-GGA" dos_ef_per_ev_cell=6.08 space_group="I-42d (122)" raw_formation_energy_ev_per_atom=0.58 energy_ev_per_atom=-6.801 pbc="T T T"
Pt -5.411 -4.149 0.504
Pt -4.043 -0.678 -0.135
Pt -8.307 -5.255 -0.824
Pt -2.529 -3.552 -1.042
V -6.122 -1.891 0.034
V 0.000 0.000 0.000
N -3.000 -1.643 -1.607
N -4.023 -4.925 -0.783

***

No. 8
5
Lattice="2.820 0.000 0.000 0.000 3.460 -3.374 0.000 3.460 3.374" Properties=species:S:1:pos:R:3 comment="V3PtN, relaxed, DFT PBE-GGA" dos_ef_per_ev_cell=3.84 space_group="Amm2 (38)" raw_formation_energy_ev_per_atom=-0.38 energy_ev_per_atom=-8.719 pbc="T T T"
V 1.410 5.169 0.559
V 0.000 3.460 2.088
V 1.410 1.751 0.559
Pt 0.000 3.460 -0.767
N 1.410 3.460 -3.303

***

No. 9
5
Lattice="-3.161 2.256 2.196 -2.031 -3.360 -2.119 2.672 -1.823 3.073" Properties=species:S:1:pos:R:3 comment="V3PtN, relaxed, DFT PBE-GGA" dos_ef_per_ev_cell=5.54 space_group="R3m (160)" raw_formation_energy_ev_per_atom=0.11 energy_ev_per_atom=-8.232 pbc="T T T"
Pt -0.953 -1.106 1.191
V -3.346 -0.974 0.392
V -0.566 -0.065 3.461
V 0.102 -3.385 0.910
N -2.482 -2.882 3.102

***

No. 10
10
Lattice="-1.883 0.108 4.334 -0.490 -4.700 -0.096 4.562 -2.947 4.633" Properties=species:S:1:pos:R:3 comment="V3PtN, relaxed, DFT PBE-GGA" dos_ef_per_ev_cell=13.31 space_group="I-4m2 (119)" raw_formation_energy_ev_per_atom=-0.10 energy_ev_per_atom=-8.446 pbc="T T T"
V -0.619 -4.763 3.643
V 0.889 -4.961 5.665
V 3.177 -4.046 4.058
V 0.269 -4.814 1.599
V 2.945 -6.263 4.013
V 1.300 -2.578 3.207
N 1.443 -4.972 3.328
N 0.000 0.000 0.000
Pt -0.570 -2.418 4.967
Pt 2.064 -2.716 6.119

***

No. 11
10
Lattice="-1.271 -1.626 1.910 7.918 -3.450 -3.899 3.590 2.809 2.698" Properties=species:S:1:pos:R:3 comment="V3PtN, relaxed, DFT PBE-GGA" dos_ef_per_ev_cell=9.70 space_group="P-1 (2)" raw_formation_energy_ev_per_atom=-0.75 energy_ev_per_atom=-9.096 pbc="T T T"
N 6.278 -0.034 0.356
N 4.912 1.246 2.611
V 3.598 -0.241 2.532
V 2.689 -0.147 -0.037
V 4.911 -1.450 0.305
V 6.321 -0.172 2.344
V 7.748 -1.363 0.201
V 3.442 2.575 2.766
Pt 6.324 -2.636 -1.828
Pt 9.194 -2.411 -1.802

***

No. 12
5
Lattice="3.452 0.000 0.000 0.000 3.452 0.000 1.726 1.726 5.263" Properties=species:S:1:pos:R:3 comment="VPt2N2, relaxed, DFT PBE-GGA" e_above_lowest_polymorph_mev_per_atom=0 dos_ef_per_ev_cell=4.31 space_group="I4/mmm (139)" raw_formation_energy_ev_per_atom=1.01 energy_ev_per_atom=-6.565 pbc="T T T"
Pt 1.726 1.726 1.317
Pt 3.452 3.452 3.946
N 3.452 1.726 2.631
N 1.726 3.452 2.631
V 0.000 0.000 0.000